# Os8Rh, relaxed, DFT PBE-GGA
data_Os8Rh
_cell_length_a 6.097
_cell_length_b 6.097
_cell_length_c 6.097
_cell_angle_alpha 95.74
_cell_angle_beta 95.74
_cell_angle_gamma 143.13
_symmetry_space_group_name_H-M 'P 1'
_symmetry_Int_Tables_number 1
loop_
_symmetry_equiv_pos_as_xyz
'x,y,z'
loop_
_atom_site_label
_atom_site_type_symbol
_atom_site_fract_x
_atom_site_fract_y
_atom_site_fract_z
Os1 Os 0.000 0.335 0.335
Os2 Os 0.000 0.665 0.665
Os3 Os 0.332 0.332 0.663
Os4 Os 0.332 0.668 0.000
Os5 Os 0.335 0.000 0.335
Os6 Os 0.665 0.000 0.665
Os7 Os 0.668 0.332 0.000
Os8 Os 0.668 0.668 0.337
Rh1 Rh 0.000 0.000 0.000
# Spin magnetization ... 0.0 μB per cell
# DFT total energy ... -10.677 eV/atom